# Rb2MoOsSe (PBE, relaxed)
data_Rb2MoOsSe
_space_group_name_H-M_alt 'P 1'
_space_group_IT_number 1
_space_group_name_Hall 'P 1'
_cell_length_a 6.770
_cell_length_b 6.770
_cell_length_c 4.576
_cell_angle_alpha 90.00
_cell_angle_beta 90.00
_cell_angle_gamma 90.00
loop_
_atom_site_label
_atom_site_type_symbol
_atom_site_fract_x
_atom_site_fract_y
_atom_site_fract_z
Se1 Se 0.000 0.000 0.500
Mo1 Mo 0.500 0.500 0.500
Rb1 Rb 0.000 0.500 0.000
Rb2 Rb 0.500 0.000 0.000
Os1 Os 0.000 0.000 0.000
# Raw formation energy = 1.36 eV per atom

***

# RbSrMoOs2 (PBE, relaxed)
data_RbSrMoOs2
_space_group_name_H-M_alt 'P 1'
_space_group_IT_number 1
_space_group_name_Hall 'P 1'
_cell_length_a 4.837
_cell_length_b 5.556
_cell_length_c 4.837
_cell_angle_alpha 90.00
_cell_angle_beta 90.00
_cell_angle_gamma 90.00
loop_
_atom_site_label
_atom_site_type_symbol
_atom_site_fract_x
_atom_site_fract_y
_atom_site_fract_z
Os1 Os 0.000 0.000 0.500
Os2 Os 0.500 0.000 0.000
Mo1 Mo 0.000 0.000 0.000
Rb1 Rb 0.000 0.500 0.000
Sr1 Sr 0.500 0.500 0.500
# Energy of formation from the pure elements = 1.46 eV per atom

***

# Rb2VMoOs (PBE, relaxed)
data_Rb2VMoOs
_space_group_name_H-M_alt 'P 1'
_space_group_IT_number 1
_space_group_name_Hall 'P 1'
_cell_length_a 6.707
_cell_length_b 4.307
_cell_length_c 6.707
_cell_angle_alpha 90.00
_cell_angle_beta 90.00
_cell_angle_gamma 90.00
loop_
_atom_site_label
_atom_site_type_symbol
_atom_site_fract_x
_atom_site_fract_y
_atom_site_fract_z
V1 V 0.000 0.500 0.000
Os1 Os 0.500 0.500 0.500
Rb1 Rb 0.500 0.000 0.000
Rb2 Rb 0.000 0.000 0.500
Mo1 Mo 0.000 0.000 0.000
# Energy of formation from the pure elements = 2.52 eV per atom

***

# Re2MoOs (PBE, relaxed)
data_Re2MoOs
_space_group_name_H-M_alt 'P 1'
_space_group_IT_number 1
_space_group_name_Hall 'P 1'
_cell_length_a 4.412
_cell_length_b 4.412
_cell_length_c 4.412
_cell_angle_alpha 60.00
_cell_angle_beta 60.00
_cell_angle_gamma 60.00
loop_
_atom_site_label
_atom_site_type_symbol
_atom_site_fract_x
_atom_site_fract_y
_atom_site_fract_z
Re1 Re 0.250 0.250 0.250
Re2 Re 0.000 0.000 0.000
Os1 Os 0.750 0.750 0.750
Mo1 Mo 0.500 0.500 0.500
# Distance to the lowest polymorph of the same formula = 336 meV per atom
# Energy of formation from the pure elements = 0.35 eV per atom

***

# ReMoOs3 (PBE, relaxed)
data_ReMoOs3
_space_group_name_H-M_alt 'P 1'
_space_group_IT_number 1
_space_group_name_Hall 'P 1'
_cell_length_a 4.671
_cell_length_b 4.671
_cell_length_c 4.671
_cell_angle_alpha 90.00
_cell_angle_beta 90.00
_cell_angle_gamma 90.00
loop_
_atom_site_label
_atom_site_type_symbol
_atom_site_fract_x
_atom_site_fract_y
_atom_site_fract_z
Os1 Os 0.500 0.000 0.000
Os2 Os 0.000 0.000 0.500
Os3 Os 0.000 0.500 0.000
Mo1 Mo 0.500 0.500 0.500
Re1 Re 0.000 0.000 0.000
# Distance to the lowest polymorph of the same formula = 2322 meV per atom
# Energy of formation from the pure elements = 2.39 eV per atom

***

# ReMoOs2 (PBE, relaxed)
data_ReMoOs2
_space_group_name_H-M_alt 'P 1'
_space_group_IT_number 1
_space_group_name_Hall 'P 1'
_cell_length_a 4.777
_cell_length_b 4.777
_cell_length_c 4.798
_cell_angle_alpha 80.36
_cell_angle_beta 80.36
_cell_angle_gamma 33.59
loop_
_atom_site_label
_atom_site_type_symbol
_atom_site_fract_x
_atom_site_fract_y
_atom_site_fract_z
Mo1 Mo 0.250 0.250 0.243
Re1 Re 0.498 0.498 0.514
Os1 Os 0.747 0.747 0.745
Os2 Os 0.006 0.006 0.998
# Distance to the lowest polymorph of the same formula = 37 meV per atom
# Energy of formation from the pure elements = 0.08 eV per atom

***

# ReMoOs2 (PBE, relaxed)
data_ReMoOs2
_space_group_name_H-M_alt 'P 1'
_space_group_IT_number 1
_space_group_name_Hall 'P 1'
_cell_length_a 9.279
_cell_length_b 9.279
_cell_length_c 9.279
_cell_angle_alpha 17.08
_cell_angle_beta 17.08
_cell_angle_gamma 17.08
loop_
_atom_site_label
_atom_site_type_symbol
_atom_site_fract_x
_atom_site_fract_y
_atom_site_fract_z
Os1 Os 0.000 0.000 0.000
Os2 Os 0.249 0.249 0.249
Re1 Re 0.503 0.503 0.503
Mo1 Mo 0.748 0.748 0.748
# Distance to the lowest polymorph of the same formula = 83 meV per atom
# Energy of formation from the pure elements = 0.13 eV per atom

***

# Re2MoOs2 (PBE, relaxed)
data_Re2MoOs2
_space_group_name_H-M_alt 'P 1'
_space_group_IT_number 1
_space_group_name_Hall 'P 1'
_cell_length_a 7.513
_cell_length_b 7.513
_cell_length_c 2.768
_cell_angle_alpha 90.00
_cell_angle_beta 90.00
_cell_angle_gamma 90.00
loop_
_atom_site_label
_atom_site_type_symbol
_atom_site_fract_x
_atom_site_fract_y
_atom_site_fract_z
Mo1 Mo 0.000 0.000 0.000
Mo2 Mo 0.500 0.500 0.000
Re1 Re 0.170 0.670 0.500
Re2 Re 0.670 0.830 0.500
Re3 Re 0.830 0.330 0.500
Re4 Re 0.330 0.170 0.500
Os1 Os 0.875 0.625 0.000
Os2 Os 0.125 0.375 0.000
Os3 Os 0.375 0.875 0.000
Os4 Os 0.625 0.125 0.000
# Distance to the lowest polymorph of the same formula = 247 meV per atom
# Energy of formation from the pure elements = 0.22 eV per atom

***

# ReMoOs2 (PBE, relaxed)
data_ReMoOs2
_space_group_name_H-M_alt 'P 1'
_space_group_IT_number 1
_space_group_name_Hall 'P 1'
_cell_length_a 4.786
_cell_length_b 4.786
_cell_length_c 4.788
_cell_angle_alpha 80.35
_cell_angle_beta 80.35
_cell_angle_gamma 33.50
loop_
_atom_site_label
_atom_site_type_symbol
_atom_site_fract_x
_atom_site_fract_y
_atom_site_fract_z
Os1 Os 0.497 0.497 0.509
Os2 Os 0.003 0.003 0.991
Re1 Re 0.750 0.750 0.750
Mo1 Mo 0.250 0.250 0.250
# Distance to the lowest polymorph of the same formula = 42 meV per atom
# Energy of formation from the pure elements = 0.09 eV per atom

***

# ReMoOs2 (PBE, relaxed)
data_ReMoOs2
_space_group_name_H-M_alt 'P 1'
_space_group_IT_number 1
_space_group_name_Hall 'P 1'
_cell_length_a 3.248
_cell_length_b 3.248
_cell_length_c 5.800
_cell_angle_alpha 90.00
_cell_angle_beta 90.00
_cell_angle_gamma 90.00
loop_
_atom_site_label
_atom_site_type_symbol
_atom_site_fract_x
_atom_site_fract_y
_atom_site_fract_z
Re1 Re 0.000 0.000 0.475
Mo1 Mo 0.500 0.500 0.754
Os1 Os 0.000 0.000 0.997
Os2 Os 0.500 0.500 0.274
# Distance to the lowest polymorph of the same formula = 369 meV per atom
# Energy of formation from the pure elements = 0.41 eV per atom

***

# ReMoOs2 (PBE, relaxed)
data_ReMoOs2
_space_group_name_H-M_alt 'P 1'
_space_group_IT_number 1
_space_group_name_Hall 'P 1'
_cell_length_a 4.260
_cell_length_b 2.763
_cell_length_c 5.301
_cell_angle_alpha 75.05
_cell_angle_beta 90.00
_cell_angle_gamma 90.00
loop_
_atom_site_label
_atom_site_type_symbol
_atom_site_fract_x
_atom_site_fract_y
_atom_site_fract_z
Os1 Os 0.000 0.955 0.971
Os2 Os 0.500 0.293 0.280
Re1 Re 0.000 0.690 0.488
Mo1 Mo 0.500 0.562 0.761
# Distance to the lowest polymorph of the same formula = 161 meV per atom
# Energy of formation from the pure elements = 0.21 eV per atom

***

# ReMoOs4 (PBE, relaxed)
data_ReMoOs4
_space_group_name_H-M_alt 'P 1'
_space_group_IT_number 1
_space_group_name_Hall 'P 1'
_cell_length_a 5.086
_cell_length_b 5.086
_cell_length_c 5.086
_cell_angle_alpha 60.00
_cell_angle_beta 60.00
_cell_angle_gamma 60.00
loop_
_atom_site_label
_atom_site_type_symbol
_atom_site_fract_x
_atom_site_fract_y
_atom_site_fract_z
Os1 Os 0.125 0.625 0.625
Os2 Os 0.625 0.125 0.625
Os3 Os 0.625 0.625 0.125
Os4 Os 0.625 0.625 0.625
Mo1 Mo 0.000 0.000 0.000
Re1 Re 0.250 0.250 0.250
# Distance to the lowest polymorph of the same formula = 395 meV per atom
# Energy of formation from the pure elements = 0.54 eV per atom